# 1
## PrSm3Co (PBE)

Data for crystalline PrSm3Co at its relaxed geometry.

Cell and atoms, written as POSCAR:
```
PrSm3Co
1.0
6.8266 -0.1689 -2.7186
-3.4930 6.0303 -2.3358
0.2115 0.1258 7.3105
Co Sm Pr
2 6 2
direct
0.3675 0.2520 0.6195 Co
0.6325 0.7480 0.3805 Co
0.8392 0.0458 0.2946 Sm
0.7513 0.5446 0.7054 Sm
0.2939 0.5455 0.8394 Sm
0.7061 0.4545 0.1606 Sm
0.2487 0.4554 0.2946 Sm
0.1608 0.9542 0.7054 Sm
0.7104 0.0467 0.7571 Pr
0.2896 0.9533 0.2429 Pr
```

Properties
- formation energy (eV per atom) = -0.061
- energy relative to the lowest polymorph listed for this composition (meV per atom) = 0

# 2
## TlSbRu2 (PBE)

Data for crystalline TlSbRu2 at its relaxed geometry.

Cell and atoms, written as POSCAR:
```
TlSbRu2
1.0
3.2268 0.0000 0.0000
0.0000 3.2273 0.0000
0.0000 0.0000 6.8052
Sb Tl Ru
1 1 2
direct
0.5000 0.5000 0.2500 Sb
0.5000 0.5000 0.7500 Tl
0.0000 0.0000 0.0254 Ru
0.0000 0.0000 0.4746 Ru
```

Properties
- raw formation energy (meV/atom) = 244

# 3
## Er5Hg2Os2 (PBE)

Data for crystalline Er5Hg2Os2 at its relaxed geometry.

Cell and atoms, written as POSCAR:
```
Er5Hg2Os2
1.0
6.9508 0.0000 2.5231
0.0000 7.4959 0.0000
0.7446 0.0000 8.7844
Hg Er Os
4 10 4
direct
0.7193 0.5000 0.5614 Hg
0.2807 0.5000 0.4386 Hg
0.2193 0.0000 0.5614 Hg
0.7807 0.0000 0.4386 Hg
0.1981 0.1792 0.2446 Er
0.3019 0.6792 0.7554 Er
0.5572 0.8208 0.2446 Er
0.0572 0.6792 0.2446 Er
0.9428 0.3208 0.7554 Er
0.4428 0.1792 0.7554 Er
0.0000 0.0000 0.0000 Er
0.5000 0.5000 0.0000 Er
0.8019 0.8208 0.7554 Er
0.6981 0.3208 0.2446 Er
0.8828 0.6203 0.0000 Os
0.1172 0.3797 0.0000 Os
0.3828 0.8797 0.0000 Os
0.6172 0.1203 0.0000 Os
```

Properties
- formation energy (eV per atom) = -0.391

# 4
## Li7HgAu4 (PBE)

Data for crystalline Li7HgAu4 at its relaxed geometry.

Cell and atoms, written as POSCAR:
```
Li7HgAu4
1.0
-0.9028 -2.6692 -3.9329
6.3428 -2.7812 -2.5444
0.5251 -6.7337 1.4737
Li Au Hg
7 4 1
direct
0.9322 0.4025 0.7330 Li
0.2518 0.7103 0.7861 Li
0.7871 0.8780 0.5477 Li
0.7482 0.2897 0.2139 Li
0.0678 0.5975 0.2670 Li
0.2129 0.1220 0.4523 Li
0.5000 0.0000 0.0000 Li
0.5586 0.2764 0.6063 Au
0.6910 0.6460 0.9719 Au
0.3090 0.3540 0.0281 Au
0.4414 0.7236 0.3937 Au
0.0000 0.0000 0.0000 Hg
```

Properties
- formation energy (eV per atom) = -0.363

Number 1: density 7.1 g/cm3. Number 2: density 12.4 g/cm3. Number 3: density 12.1 g/cm3. Number 4: density 8.2 g/cm3.